VASP calculation (GGA-PBEsol) on an optimized crystal structure of LaSc2NiO.

```
5
Lattice="5.159 0.000 0.000 0.000 5.159 0.000 0.000 0.000 4.320" Properties=species:S:1:pos:R:3 pbc="T T T"
La 0.000 0.000 0.000
Sc 0.000 2.579 0.000
Sc 2.579 0.000 0.000
Ni 0.000 0.000 2.160
O 2.579 2.579 2.160
```

Output
Total moment, μB per atom: 0.000
DOS at the Fermi energy, states/eV/cell: 5.12
Energy, eV/cell: -23.6